1.
## TiSbI (PBE-GGA)

Data for TiSbI after structural relaxation.

Structure (CIF):
```
data_TiSbI
_chemical_formula_sum 'Ti4 Sb4 I4'
_cell_length_a 13.4214
_cell_length_b 3.8041
_cell_length_c 6.9115
_cell_angle_alpha 90.00
_cell_angle_beta 94.39
_cell_angle_gamma 90.00
_space_group_name_H-M_alt 'C 1 2/m 1'
_space_group_IT_number 12
_space_group_name_Hall '-C 2y'
loop_
_atom_site_label
_atom_site_fract_x
_atom_site_fract_y
_atom_site_fract_z
_atom_site_occupancy
Ti1 0.2424 0.0000 0.2129 1
Sb1 0.1133 0.5000 0.0462 1
I1 0.1364 0.0000 0.5675 1
```

## Properties
Raw total energy in eV/cell: -58.5
E_form (uncorrected) in meV/atom: -356

2.
## TiSb2I2 (PBE-GGA)

Data for TiSb2I2 after structural relaxation.

Structure (CIF):
```
data_TiSb2I2
_chemical_formula_sum 'Ti2 Sb4 I4'
_cell_length_a 3.9775
_cell_length_b 3.9775
_cell_length_c 24.7583
_cell_angle_alpha 90.00
_cell_angle_beta 90.00
_cell_angle_gamma 90.00
_space_group_name_H-M_alt 'I 4/m m m'
_space_group_IT_number 139
_space_group_name_Hall '-I 4 2'
loop_
_atom_site_label
_atom_site_fract_x
_atom_site_fract_y
_atom_site_fract_z
_atom_site_occupancy
Ti1 0.0000 0.0000 0.0000 1
Sb1 0.0000 0.5000 0.2500 1
I1 0.0000 0.0000 0.4290 1
```

## Properties
Raw total energy in eV/cell: -37.0
E_form (uncorrected) in meV/atom: 148

3.
## TiSb2I (PBE-GGA)

Data for TiSb2I after structural relaxation.

Structure (CIF):
```
data_TiSb2I
_chemical_formula_sum 'Ti4 Sb8 I4'
_cell_length_a 5.7742
_cell_length_b 5.7742
_cell_length_c 17.5966
_cell_angle_alpha 90.00
_cell_angle_beta 90.00
_cell_angle_gamma 90.00
_space_group_name_H-M_alt 'I -4 2 d'
_space_group_IT_number 122
_space_group_name_Hall 'I -4 2bw'
loop_
_atom_site_label
_atom_site_fract_x
_atom_site_fract_y
_atom_site_fract_z
_atom_site_occupancy
Ti1 0.0000 0.0000 0.0000 1
Sb1 0.1043 0.2500 0.1250 1
I1 0.0000 0.0000 0.5000 1
```

## Properties
Raw total energy in eV/cell: -65.7
E_form (uncorrected) in meV/atom: 316

4.
## Ti3SbI (PBE-GGA)

Data for Ti3SbI after structural relaxation.

Structure (CIF):
```
data_Ti3SbI
_chemical_formula_sum 'Ti3 Sb1 I1'
_cell_length_a 5.2669
_cell_length_b 5.2669
_cell_length_c 5.2669
_cell_angle_alpha 90.00
_cell_angle_beta 90.00
_cell_angle_gamma 90.00
_space_group_name_H-M_alt 'P m -3 m'
_space_group_IT_number 221
_space_group_name_Hall '-P 4 2 3'
loop_
_atom_site_label
_atom_site_fract_x
_atom_site_fract_y
_atom_site_fract_z
_atom_site_occupancy
Ti1 0.0000 0.0000 0.5000 1
Sb1 0.0000 0.0000 0.0000 1
I1 0.5000 0.5000 0.5000 1
```

## Properties
Raw total energy in eV/cell: -25.5
E_form (uncorrected) in meV/atom: 762

5.
## TiSbI3 (PBE-GGA)

Data for TiSbI3 after structural relaxation.

Structure (CIF):
```
data_TiSbI3
_chemical_formula_sum 'Ti1 Sb1 I3'
_cell_length_a 5.6523
_cell_length_b 5.6523
_cell_length_c 5.6523
_cell_angle_alpha 90.00
_cell_angle_beta 90.00
_cell_angle_gamma 90.00
_space_group_name_H-M_alt 'P m -3 m'
_space_group_IT_number 221
_space_group_name_Hall '-P 4 2 3'
loop_
_atom_site_label
_atom_site_fract_x
_atom_site_fract_y
_atom_site_fract_z
_atom_site_occupancy
Ti1 0.0000 0.0000 0.0000 1
Sb1 0.5000 0.5000 0.5000 1
I1 0.0000 0.0000 0.5000 1
```

## Properties
Raw total energy in eV/cell: -16.5
E_form (uncorrected) in meV/atom: 32

6.
## Ti2SbI (PBE-GGA)

Data for Ti2SbI after structural relaxation.

Structure (CIF):
```
data_Ti2SbI
_chemical_formula_sum 'Ti8 Sb4 I4'
_cell_length_a 6.8891
_cell_length_b 6.8891
_cell_length_c 6.8891
_cell_angle_alpha 90.00
_cell_angle_beta 90.00
_cell_angle_gamma 90.00
_space_group_name_H-M_alt 'F m -3 m'
_space_group_IT_number 225
_space_group_name_Hall '-F 4 2 3'
loop_
_atom_site_label
_atom_site_fract_x
_atom_site_fract_y
_atom_site_fract_z
_atom_site_occupancy
Ti1 0.2500 0.2500 0.2500 1
Sb1 0.0000 0.0000 0.0000 1
I1 0.0000 0.0000 0.5000 1
```

## Properties
Raw total energy in eV/cell: -87.1
E_form (uncorrected) in meV/atom: -79

7.
## TiSb3I (PBE-GGA)

Data for TiSb3I after structural relaxation.

Structure (CIF):
```
data_TiSb3I
_chemical_formula_sum 'Ti1 Sb3 I1'
_cell_length_a 5.6521
_cell_length_b 5.6521
_cell_length_c 5.6521
_cell_angle_alpha 90.00
_cell_angle_beta 90.00
_cell_angle_gamma 90.00
_space_group_name_H-M_alt 'P m -3 m'
_space_group_IT_number 221
_space_group_name_Hall '-P 4 2 3'
loop_
_atom_site_label
_atom_site_fract_x
_atom_site_fract_y
_atom_site_fract_z
_atom_site_occupancy
Ti1 0.0000 0.0000 0.0000 1
Sb1 0.0000 0.5000 0.5000 1
I1 0.5000 0.5000 0.5000 1
```

## Properties
Raw total energy in eV/cell: -14.7
E_form (uncorrected) in meV/atom: 1414

8.
## TiSb2I2 (PBE-GGA)

Data for TiSb2I2 after structural relaxation.

Structure (CIF):
```
data_TiSb2I2
_chemical_formula_sum 'Ti2 Sb4 I4'
_cell_length_a 7.6234
_cell_length_b 7.6234
_cell_length_c 8.3788
_cell_angle_alpha 90.00
_cell_angle_beta 90.00
_cell_angle_gamma 90.00
_space_group_name_H-M_alt 'P 4/m b m'
_space_group_IT_number 127
_space_group_name_Hall '-P 4 2ab'
loop_
_atom_site_label
_atom_site_fract_x
_atom_site_fract_y
_atom_site_fract_z
_atom_site_occupancy
Ti1 0.0000 0.0000 0.0000 1
Sb1 0.1176 0.3824 0.5000 1
I1 0.1852 0.6852 0.0000 1
```

## Properties
Raw total energy in eV/cell: -35.4
E_form (uncorrected) in meV/atom: 305

9.
## Ti2SbI (PBE-GGA)

Data for Ti2SbI after structural relaxation.

Structure (CIF):
```
data_Ti2SbI
_chemical_formula_sum 'Ti8 Sb4 I4'
_cell_length_a 5.7586
_cell_length_b 5.7586
_cell_length_c 15.0247
_cell_angle_alpha 90.00
_cell_angle_beta 90.00
_cell_angle_gamma 90.00
_space_group_name_H-M_alt 'I -4 2 d'
_space_group_IT_number 122
_space_group_name_Hall 'I -4 2bw'
loop_
_atom_site_label
_atom_site_fract_x
_atom_site_fract_y
_atom_site_fract_z
_atom_site_occupancy
Ti1 0.2385 0.2500 0.1250 1
Sb1 0.0000 0.0000 0.0000 1
I1 0.0000 0.0000 0.5000 1
```

## Properties
Raw total energy in eV/cell: -81.9
E_form (uncorrected) in meV/atom: 244

10.
## TiTlSbI2 (PBE-GGA)

Data for TiTlSbI2 after structural relaxation.

Structure (CIF):
```
data_TiTlSbI2
_chemical_formula_sum 'Ti1 Tl1 Sb1 I2'
_cell_length_a 5.6687
_cell_length_b 5.6687
_cell_length_c 5.3795
_cell_angle_alpha 90.00
_cell_angle_beta 90.00
_cell_angle_gamma 90.00
_space_group_name_H-M_alt 'P 4/m m m'
_space_group_IT_number 123
_space_group_name_Hall '-P 4 2'
loop_
_atom_site_label
_atom_site_fract_x
_atom_site_fract_y
_atom_site_fract_z
_atom_site_occupancy
Ti1 0.0000 0.0000 0.0000 1
Tl1 0.5000 0.5000 0.5000 1
Sb1 0.0000 0.0000 0.5000 1
I1 0.0000 0.5000 0.0000 1
```

## Properties
Raw total energy in eV/cell: -18.4
E_form (uncorrected) in meV/atom: -193

11.
## TiTlSb2I (PBE-GGA)

Data for TiTlSb2I after structural relaxation.

Structure (CIF):
```
data_TiTlSb2I
_chemical_formula_sum 'Ti1 Tl1 Sb2 I1'
_cell_length_a 5.2407
_cell_length_b 5.2407
_cell_length_c 6.1618
_cell_angle_alpha 90.00
_cell_angle_beta 90.00
_cell_angle_gamma 90.00
_space_group_name_H-M_alt 'P 4/m m m'
_space_group_IT_number 123
_space_group_name_Hall '-P 4 2'
loop_
_atom_site_label
_atom_site_fract_x
_atom_site_fract_y
_atom_site_fract_z
_atom_site_occupancy
Ti1 0.0000 0.0000 0.0000 1
Tl1 0.5000 0.5000 0.5000 1
Sb1 0.0000 0.5000 0.0000 1
I1 0.0000 0.0000 0.5000 1
```

## Properties
Raw total energy in eV/cell: -20.4
E_form (uncorrected) in meV/atom: -76

12.
## TiVSb2I (PBE-GGA)

Data for TiVSb2I after structural relaxation.

Structure (CIF):
```
data_TiVSb2I
_chemical_formula_sum 'Ti1 V1 Sb2 I1'
_cell_length_a 5.1019
_cell_length_b 5.1019
_cell_length_c 5.5422
_cell_angle_alpha 90.00
_cell_angle_beta 90.00
_cell_angle_gamma 90.00
_space_group_name_H-M_alt 'P 4/m m m'
_space_group_IT_number 123
_space_group_name_Hall '-P 4 2'
loop_
_atom_site_label
_atom_site_fract_x
_atom_site_fract_y
_atom_site_fract_z
_atom_site_occupancy
Ti1 0.0000 0.0000 0.0000 1
V1 0.5000 0.5000 0.5000 1
Sb1 0.0000 0.5000 0.5000 1
I1 0.5000 0.5000 0.0000 1
```

## Properties
Raw total energy in eV/cell: -23.1
E_form (uncorrected) in meV/atom: 742